[1]
Compound: Pm3Sm2Sn
Source: Alexandria via LeMat-Bulk
Functional: PBE-GGA
Structure: optimized geometry

The value obtained for the total moment is 0.0 μB/f.u. The density of states at the Fermi level comes out at 16.39 states/eV per cell. The calculation puts the volume at 32.36 A^3/atom. The value obtained for the calculated formation energy is -0.195 eV/atom. As for the crystal system: monoclinic.

It has space group P2_1/m (No. 11), with a = 8.836 Å, b = 3.857 Å, c = 11.396 Å, α = 90.00°, β = 90.61° and γ = 90.00°. The distinct sites, in fractional coordinates, are Pm at (0.090, 0.250, 0.105), Pm at (0.356, 0.750, 0.577), Pm at (0.388, 0.750, 0.248), Sm at (0.096, 0.250, 0.399), Sm at (0.347, 0.750, 0.920) and Sn at (0.147, 0.250, 0.743).

---

[2]
Compound: Ag3Mo
Source: Alexandria via LeMat-Bulk
Functional: PBE-GGA
Structure: optimized geometry

The value obtained for the total moment is 3.4 μB/f.u. The density of states at the Fermi level comes out at 12.22 states/eV per cell. The calculation puts the volume at 18.17 A^3/atom. The value obtained for the calculated formation energy is 0.690 eV/atom. As for the crystal system: tetragonal.

It has space group I4/mmm (No. 139), with a = 4.247 Å, b = 4.247 Å, c = 16.120 Å, α = 90.00°, β = 90.00° and γ = 90.00°. The distinct sites, in fractional coordinates, are Ag at (0.000, 0.000, 0.125), Ag at (0.000, 0.500, 0.000), Ag at (0.000, 0.500, 0.250) and Mo at (0.000, 0.000, 0.374).

---

[3]
Compound: Ac2Ga6PdAu
Source: Alexandria via LeMat-Bulk
Functional: PBE-GGA
Structure: optimized geometry

The value obtained for the total moment is 0.0 μB/f.u. The density of states at the Fermi level comes out at 3.67 states/eV per cell. The calculation puts the volume at 22.76 A^3/atom. The value obtained for the calculated formation energy is -0.528 eV/atom. As for the crystal system: triclinic.

It has space group P-1 (No. 2), with a = 5.515 Å, b = 6.974 Å, c = 6.984 Å, α = 79.82°, β = 67.05° and γ = 66.98°. The distinct sites, in fractional coordinates, are Ac at (0.030, 0.220, 0.218), Ga at (0.006, 0.246, 0.741), Ga at (0.337, 0.412, 0.416), Ga at (0.493, 0.756, 0.256), Pd at (0.500, 0.000, 0.500) and Au at (0.500, 0.500, 0.000).

---

[4]
Compound: Pu2Cu2RhS6
Source: Alexandria via LeMat-Bulk
Functional: PBE-GGA
Structure: optimized geometry

The value obtained for the total moment is 9.0 μB/f.u. The density of states at the Fermi level comes out at 66.15 states/eV per cell. The calculation puts the volume at 21.54 A^3/atom. As for the crystal system: trigonal. For the formation energy without anion corrections, the calculation gives -651 kJ/mol of formula units.

It has space group R-3m (No. 166, hexagonal axes), with a = 6.8982 Å, b = 6.8982 Å, c = 17.2476 Å, α = 90.00°, β = 90.00° and γ = 120.00°. The distinct sites, in fractional coordinates, are Pu at (0.0000, 0.0000, 0.1983), Cu at (0.0000, 0.0000, 0.4033), Rh at (0.0000, 0.0000, 0.0000) and S at (0.0268, 0.5134, 0.7537).

---

[5]
Compound: La2Au
Source: Alexandria via LeMat-Bulk
Functional: PBE-GGA
Structure: optimized geometry

The value obtained for the total moment is 0.0 μB/f.u. The density of states at the Fermi level comes out at 22.42 states/eV per cell. The calculation puts the volume at 34.77 A^3/atom. The value obtained for the calculated formation energy is -0.408 eV/atom. As for the crystal system: cubic.

It has space group Pa-3 (No. 205), with a = 7.473 Å, b = 7.473 Å, c = 7.473 Å, α = 90.00°, β = 90.00° and γ = 90.00°. The distinct sites, in fractional coordinates, are La at (0.156, 0.156, 0.156) and Au at (0.000, 0.000, 0.500).

---

[6]
Compound: Na3YAl
Source: Alexandria via LeMat-Bulk
Functional: PBE-GGA
Structure: optimized geometry

The value obtained for the total moment is 0.4 μB/f.u. The density of states at the Fermi level comes out at 4.52 states/eV per cell. The calculation puts the volume at 34.80 A^3/atom. The value obtained for the calculated formation energy is 0.641 eV/atom. As for the crystal system: cubic.

It has space group Pm-3m (No. 221), with a = 5.583 Å, b = 5.583 Å, c = 5.583 Å, α = 90.00°, β = 90.00° and γ = 90.00°. The distinct sites, in fractional coordinates, are Na at (0.000, 0.000, 0.500), Y at (0.500, 0.500, 0.500) and Al at (0.000, 0.000, 0.000).

---

Question: Which of these has the highest total moment?
Answer: Pu2Cu2RhS6

---

Please write out number 3 again, unchanged.
Compound: Ac2Ga6PdAu
Source: Alexandria via LeMat-Bulk
Functional: PBE-GGA
Structure: optimized geometry

The value obtained for the total moment is 0.0 μB/f.u. The density of states at the Fermi level comes out at 3.67 states/eV per cell. The calculation puts the volume at 22.76 A^3/atom. The value obtained for the calculated formation energy is -0.528 eV/atom. As for the crystal system: triclinic.

It has space group P-1 (No. 2), with a = 5.515 Å, b = 6.974 Å, c = 6.984 Å, α = 79.82°, β = 67.05° and γ = 66.98°. The distinct sites, in fractional coordinates, are Ac at (0.030, 0.220, 0.218), Ga at (0.006, 0.246, 0.741), Ga at (0.337, 0.412, 0.416), Ga at (0.493, 0.756, 0.256), Pd at (0.500, 0.000, 0.500) and Au at (0.500, 0.500, 0.000).

---

Question: Which of these has the highest total moment?
Answer: Pu2Cu2RhS6

---

Question: Which value of total moment does entry 3 give?
Answer: 0.0 μB/f.u.